# 1
## TcBSbPt2 (GGA-PBE)

Data for a relaxed structure of TcBSbPt2.

```
TcBSbPt2
1.0
5.0207 0.0000 0.0000
0.0000 5.0207 0.0000
0.0000 0.0000 4.2529
Tc B Sb Pt
1 1 1 2
direct
0.0000 0.0000 0.0000 Tc
0.5000 0.5000 0.0000 B
0.5000 0.5000 0.5000 Sb
0.0000 0.5000 0.5000 Pt
0.5000 0.0000 0.5000 Pt
```

Summary:
The calculation puts the raw formation energy at 1.613 eV/atom.

---

# 2
## BSbTe2Pt (GGA-PBE)

Data for a relaxed structure of BSbTe2Pt.

```
BSbTe2Pt
1.0
5.4687 0.0000 0.0000
0.0000 5.4687 0.0000
0.0000 0.0000 5.0759
B Sb Te Pt
1 1 2 1
direct
0.0000 0.0000 0.0000 B
0.5000 0.5000 0.0000 Sb
0.0000 0.5000 0.5000 Te
0.5000 0.0000 0.5000 Te
0.5000 0.5000 0.5000 Pt
```

Summary:
The calculation puts the raw formation energy at 1.228 eV/atom.

---

# 3
## BSb2TePt (GGA-PBE)

Data for a relaxed structure of BSb2TePt.

```
BSb2TePt
1.0
5.1853 0.0000 0.0000
0.0000 5.1853 0.0000
0.0000 0.0000 5.5646
B Sb Te Pt
1 2 1 1
direct
0.0000 0.0000 0.0000 B
0.0000 0.5000 0.5000 Sb
0.5000 0.0000 0.5000 Sb
0.5000 0.5000 0.0000 Te
0.5000 0.5000 0.5000 Pt
```

Summary:
The calculation puts the raw formation energy at 1.240 eV/atom.

---

# 4
## BSbTe2Pt (GGA-PBE)

Data for a relaxed structure of BSbTe2Pt.

```
BSbTe2Pt
1.0
4.7316 0.0000 0.0000
0.0000 4.7316 0.0000
0.0000 0.0000 4.7493
B Sb Te Pt
1 1 2 1
direct
0.0000 0.0000 0.0000 B
0.0000 0.0000 0.5000 Sb
0.0000 0.5000 0.0000 Te
0.5000 0.0000 0.0000 Te
0.5000 0.5000 0.5000 Pt
```

Summary:
The calculation puts the raw formation energy at 0.841 eV/atom.

---

# 5
## BSb2TePt (GGA-PBE)

Data for a relaxed structure of BSb2TePt.

```
BSb2TePt
1.0
4.7121 0.0000 0.0000
0.0000 4.7121 0.0000
0.0000 0.0000 4.7131
B Sb Te Pt
1 2 1 1
direct
0.0000 0.0000 0.0000 B
0.0000 0.5000 0.0000 Sb
0.5000 0.0000 0.0000 Sb
0.0000 0.0000 0.5000 Te
0.5000 0.5000 0.5000 Pt
```

Summary:
The calculation puts the raw formation energy at 0.776 eV/atom.

---

# 6
## ZrBSb2Pt (GGA-PBE)

Data for a relaxed structure of ZrBSb2Pt.

```
ZrBSb2Pt
1.0
5.4151 0.0000 0.0000
0.0000 5.4151 0.0000
0.0000 0.0000 3.9087
Zr B Sb Pt
1 1 2 1
direct
0.0000 0.0000 0.0000 Zr
0.5000 0.5000 0.0000 B
0.0000 0.5000 0.5000 Sb
0.5000 0.0000 0.5000 Sb
0.5000 0.5000 0.5000 Pt
```

Summary:
The calculation puts the raw formation energy at 0.319 eV/atom.

---

# 7
## ScB2Pt8 (GGA-PBE)

Data for a relaxed structure of ScB2Pt8.

```
ScB2Pt8
1.0
3.8900 -5.3447 0.0000
3.8900 5.3447 0.0000
-0.9299 0.0000 3.8741
Sc B Pt
1 2 8
direct
0.0000 0.0000 0.0000 Sc
0.3398 0.6602 0.5000 B
0.6602 0.3398 0.5000 B
0.0514 0.3193 0.5879 Pt
0.2654 0.7346 0.0000 Pt
0.3193 0.0514 0.5879 Pt
0.3749 0.3749 0.1954 Pt
0.6251 0.6251 0.8046 Pt
0.6807 0.9486 0.4121 Pt
0.7346 0.2654 0.0000 Pt
0.9486 0.6807 0.4121 Pt
```

Summary:
The value obtained for the total energy is -6.621 eV per atom.

---

# 8
## ScBPt3 (GGA-PBE)

Data for a relaxed structure of ScBPt3.

```
ScBPt3
1.0
4.8459 0.0000 0.0000
0.0000 4.8459 0.0000
0.0000 0.0000 4.8459
Sc B Pt
1 1 3
direct
0.0000 0.0000 0.0000 Sc
0.5000 0.5000 0.5000 B
0.0000 0.0000 0.5000 Pt
0.0000 0.5000 0.0000 Pt
0.5000 0.0000 0.0000 Pt
```

Summary:
The value obtained for the total energy is -4.689 eV per atom.